# AcSn2Sb2Pd7

Crystalline AcSn2Sb2Pd7 at its relaxed geometry (GGA-PBE, Alexandria).

## Properties
Its spin magnetization is 0.0 μB/cell. The formation energy (no corrections) comes out at -5.11 eV/f.u. For the density of states at the Fermi level, the calculation gives 4.01 states/eV/f.u. The value obtained for the calculated total energy is -5.15 eV per atom. The crystal system is monoclinic.

abc: 4.5361 4.5361 13.5687
angles: 71.13 71.13 91.45
Last column: nearest neighbours and their distance in Å.
Positions (direct):
Pd: 0.2344 0.2344 0.4996  2 Sn 2.69-2.70, 2 Sb 2.75-2.76, 1 Pd 2.96
Pd: 0.6757 0.1792 0.8230  2 Sb 2.75, 2 Sn 2.88-2.89
Pd: 0.8208 0.3243 0.1770  2 Sb 2.75, 2 Sn 2.88-2.89
Pd: 0.7656 0.7656 0.5004  2 Sn 2.69-2.70, 2 Sb 2.75-2.76, 1 Pd 2.96
Pd: 0.3243 0.8208 0.1770  2 Sb 2.75, 2 Sn 2.88-2.89
Pd: 0.5000 0.5000 0.0000  8 Pd 3.10-3.12, 4 Ac 3.17-3.25
Pd: 0.1792 0.6757 0.8230  2 Sb 2.75, 2 Sn 2.88-2.89
Ac: 0.0000 0.0000 0.0000  12 Pd 3.11-3.25
Sb: 0.1916 0.1916 0.3069  6 Pd 2.75-2.76
Sb: 0.8084 0.8084 0.6931  6 Pd 2.75-2.76
Sn: 0.6748 0.6748 0.3252  6 Pd 2.69-2.89
Sn: 0.3252 0.3252 0.6748  6 Pd 2.69-2.89